The following is a DFT calculation (PBE-GGA) of a geometry-optimized LiVHg structure.

Properties
For the magnetization, the calculation gives 0.00 Bohr magnetons per cell. The formation energy is 0.10 eV/atom. As for the crystal system: triclinic. As for the space group: P-1, No. 2. The distance to the lowest polymorph of the same formula is 0.0652 eV/atom.

POSCAR file:
```
LiVHg
1.0
4.672 0.006 -0.050
-0.709 2.888 0.003
-2.381 -0.702 7.496
V Hg Li
2 2 2
direct
0.340 0.091 0.540
0.660 0.909 0.460
0.949 0.487 0.231
0.051 0.513 0.769
0.676 0.843 0.906
0.324 0.157 0.094
```